Compound: LaPaRuN4
Source: the Alexandria database
Functional: GGA-PBE
Structure: relaxed

Fermi-level density of states: 0.710 states/eV/atom
formation energy without anion corrections: -744 meV per atom
calculated total energy: -0.3266 Ha/atom

Lattice parameters (Å, degrees): 5.9470 5.3023 7.0116 90.00 108.45 90.00
Space group P2_1/m (No. 11)
Unique sites:
La  0.2017  0.2500  0.4351 [2 per cell]
Pa  0.2757  0.2500  0.9526 [2 per cell]
Ru  0.2575  0.7500  0.1917 [2 per cell]
N  0.0480  0.7500  0.3539 [2 per cell]
N  0.0530  0.7500  0.9205 [2 per cell]
N  0.4920  0.0070  0.7839 [4 per cell]



Compound: LaPa2RuN5
Source: the Alexandria database
Functional: GGA-PBE
Structure: relaxed

Fermi-level density of states: 0.294 states/eV/atom
formation energy without anion corrections: -1173 meV per atom
calculated total energy: -0.3486 Ha/atom

Lattice parameters (Å, degrees): 6.5587 6.5587 11.8490 90.00 90.00 90.00
Space group I4/mcm (No. 140)
Unique sites:
La  0.0000  0.0000  0.2500 [4 per cell]
Pa  0.1795  0.3205  0.0000 [8 per cell]
Ru  0.0000  0.5000  0.2500 [4 per cell]
N  0.0000  0.0000  0.0000 [4 per cell]
N  0.1433  0.3567  0.3732 [16 per cell]